Record 1
A relaxed NaZr crystal, computed with GGA-PBE.

Crystal system: hexagonal
Volume in Å³/cell: 49.4
Energy above the lowest structure with this stoichiometry in meV/atom: 178.2
Total DFT energy (no corrections) in eV per atom: -4.50

The structure in POSCAR format:
```
NaZr
1.0
3.0327 0.0000 0.0000
-1.5163 2.6264 0.0000
0.0000 0.0000 6.1960
Na Zr
1 1
direct
0.0000 0.0000 0.0000
0.6667 0.3333 0.5000
```

---

Record 2
A relaxed Tb4Se3N4 crystal, computed with GGA-PBE.

Crystal system: orthorhombic
Volume in Å³/cell: 210.0
Total DFT energy (no corrections) in eV per atom: -6.67

The structure in POSCAR format:
```
Tb4Se3N4
1.0
8.0311 0.0000 0.0000
0.0000 1.9675 6.6439
0.0000 -1.9675 6.6439
Tb Se N
4 3 4
direct
0.0000 0.0000 0.0000
0.2429 0.3286 0.3286
0.5000 0.9900 0.9900
0.7571 0.3286 0.3286
0.0000 0.6827 0.6827
0.3327 0.6518 0.6518
0.6673 0.6518 0.6518
0.0000 0.4163 0.4163
0.2454 0.9157 0.9157
0.5000 0.4000 0.4000
0.7546 0.9157 0.9157
```

---

Record 3
A relaxed TbErGe2Ir crystal, computed with GGA-PBE.

Crystal system: monoclinic
Volume in Å³/cell: 206.9
Energy above the lowest structure with this stoichiometry in meV/atom: 0.0
Total DFT energy (no corrections) in eV per atom: -6.38

The structure in POSCAR format:
```
TbErGe2Ir
1.0
5.2426 -2.1483 0.0000
5.2426 2.1483 0.0000
-4.6328 0.0000 9.1863
Tb Er Ge Ir
2 2 4 2
direct
0.1902 0.1902 0.1183
0.8098 0.8098 0.8817
0.0089 0.0089 0.3307
0.9911 0.9911 0.6693
0.3539 0.3539 0.4474
0.4795 0.4795 0.1164
0.5205 0.5205 0.8836
0.6461 0.6461 0.5526
0.2711 0.2711 0.6632
0.7289 0.7289 0.3368
```

---

Record 4
A relaxed TcNiAgPb crystal, computed with GGA-PBE.

Crystal system: cubic
Volume in Å³/cell: 67.2
Total DFT energy (no corrections) in eV per atom: -5.06

The structure in POSCAR format:
```
TcNiAgPb
1.0
0.0000 3.2272 3.2272
3.2272 0.0000 3.2272
3.2272 3.2272 0.0000
Tc Ni Ag Pb
1 1 1 1
direct
0.0000 0.0000 0.0000
0.5000 0.5000 0.5000
0.7500 0.7500 0.7500
0.2500 0.2500 0.2500
```

---

Record 5
A relaxed NaNdFeS3 crystal, computed with GGA-PBE.

Crystal system: orthorhombic
Volume in Å³/cell: 277.2
Energy above the lowest structure with this stoichiometry in meV/atom: 30.5
Total DFT energy (no corrections) in eV per atom: -5.68

The structure in POSCAR format:
```
NaNdFeS3
1.0
2.0025 -6.3542 0.0000
2.0025 6.3542 0.0000
0.0000 0.0000 10.8942
Na Nd Fe S
2 2 2 6
direct
0.2476 0.7524 0.7500
0.7524 0.2476 0.2500
0.0000 0.0000 0.0000
0.0000 0.0000 0.5000
0.4731 0.5269 0.2500
0.5269 0.4731 0.7500
0.0740 0.9260 0.2500
0.3625 0.6375 0.0848
0.3625 0.6375 0.4152
0.6375 0.3625 0.5848
0.6375 0.3625 0.9152
0.9260 0.0740 0.7500
```

---

Record 6
A relaxed HfBi2W crystal, computed with GGA-PBE.

Crystal system: cubic
Volume in Å³/cell: 90.7
Total DFT energy (no corrections) in eV per atom: -7.07

The structure in POSCAR format:
```
HfBi2W
1.0
0.0000 3.5655 3.5655
3.5655 0.0000 3.5655
3.5655 3.5655 0.0000
Hf Bi W
1 2 1
direct
0.0000 0.0000 0.0000
0.2500 0.2500 0.2500
0.5000 0.5000 0.5000
0.7500 0.7500 0.7500
```

---

Record 7
A relaxed Zr4CuPbN2 crystal, computed with GGA-PBE.

Crystal system: hexagonal
Volume in Å³/cell: 134.4
Total DFT energy (no corrections) in eV per atom: -8.17

The structure in POSCAR format:
```
Zr4CuPbN2
1.0
3.3103 0.0000 0.0000
-1.6552 2.8668 0.0000
0.0000 0.0000 14.1614
Zr Cu Pb N
4 1 1 2
direct
0.0000 0.0000 0.1460
0.0000 0.0000 0.8540
0.3333 0.6667 0.3240
0.3333 0.6667 0.6760
0.3333 0.6667 0.0000
0.0000 0.0000 0.5000
0.6667 0.3333 0.2335
0.6667 0.3333 0.7665
```

---

Record 8
A relaxed CoTcAu2 crystal, computed with GGA-PBE.

Crystal system: cubic
Volume in Å³/cell: 63.6
Energy above the lowest structure with this stoichiometry in meV/atom: 0.0
Total DFT energy (no corrections) in eV per atom: -5.52

The structure in POSCAR format:
```
CoTcAu2
1.0
0.0000 3.1680 3.1680
3.1680 0.0000 3.1680
3.1680 3.1680 0.0000
Co Tc Au
1 1 2
direct
0.0000 0.0000 0.0000
0.2500 0.2500 0.2500
0.5000 0.5000 0.5000
0.7500 0.7500 0.7500
```

---

Record 9
A relaxed HfC crystal, computed with GGA-PBE.

Crystal system: hexagonal
Volume in Å³/cell: 103.5
Energy above the lowest structure with this stoichiometry in meV/atom: 280.5
Total DFT energy (no corrections) in eV per atom: -10.25

The structure in POSCAR format:
```
HfC
1.0
3.2700 0.0000 0.0000
-1.6350 2.8319 0.0000
0.0000 0.0000 11.1736
Hf C
4 4
direct
0.3333 0.6667 0.1196
0.3333 0.6667 0.3804
0.6667 0.3333 0.6196
0.6667 0.3333 0.8804
0.0000 0.0000 0.0000
0.0000 0.0000 0.5000
0.3333 0.6667 0.7500
0.6667 0.3333 0.2500
```

---

Record 10
A relaxed Sr2CdAsP crystal, computed with GGA-PBE.

Crystal system: orthorhombic
Volume in Å³/cell: 283.1
Energy above the lowest structure with this stoichiometry in meV/atom: 0.0
Total DFT energy (no corrections) in eV per atom: -3.81

The structure in POSCAR format:
```
Sr2CdAsP
1.0
2.2048 -8.3578 0.0000
2.2048 8.3578 0.0000
0.0000 0.0000 7.6811
Sr Cd As P
4 2 2 2
direct
0.0379 0.9621 0.5000
0.2070 0.7930 0.8569
0.7930 0.2070 0.3569
0.9621 0.0379 0.0000
0.4022 0.5978 0.6594
0.5978 0.4022 0.1594
0.4353 0.5647 0.2960
0.5647 0.4353 0.7960
0.1752 0.8248 0.2482
0.8248 0.1752 0.7482
```

---

Record 11
A relaxed PrZrSi crystal, computed with GGA-PBE.

Crystal system: cubic
Volume in Å³/cell: 77.2
Energy above the lowest structure with this stoichiometry in meV/atom: 0.0
Total DFT energy (no corrections) in eV per atom: -6.51

The structure in POSCAR format:
```
PrZrSi
1.0
0.0000 3.3796 3.3796
3.3796 0.0000 3.3796
3.3796 3.3796 0.0000
Pr Zr Si
1 1 1
direct
0.0000 0.0000 0.0000
0.5000 0.5000 0.5000
0.2500 0.2500 0.2500
```

---

Record 12
A relaxed TaNbAlC crystal, computed with GGA-PBE.

Crystal system: hexagonal
Volume in Å³/cell: 116.8
Total DFT energy (no corrections) in eV per atom: -9.25

The structure in POSCAR format:
```
TaNbAlC
1.0
3.1103 0.0000 0.0000
-1.5552 2.6936 0.0000
0.0000 0.0000 13.9455
Ta Nb Al C
2 2 2 2
direct
0.0000 0.0000 0.1603
0.0000 0.0000 0.8397
0.6667 0.3333 0.3400
0.6667 0.3333 0.6600
0.0000 0.0000 0.5000
0.6667 0.3333 0.0000
0.3333 0.6667 0.2489
0.3333 0.6667 0.7511
```

---

Record 13
A relaxed FeAsIrPt crystal, computed with GGA-PBE.

Crystal system: cubic
Volume in Å³/cell: 59.0
Energy above the lowest structure with this stoichiometry in meV/atom: 0.0
Total DFT energy (no corrections) in eV per atom: -6.85

The structure in POSCAR format:
```
FeAsIrPt
1.0
0.0000 3.0895 3.0895
3.0895 0.0000 3.0895
3.0895 3.0895 0.0000
Fe As Ir Pt
1 1 1 1
direct
0.0000 0.0000 0.0000
0.7500 0.7500 0.7500
0.5000 0.5000 0.5000
0.2500 0.2500 0.2500
```

---

Record 14
A relaxed ZrAg crystal, computed with GGA-PBE.

Crystal system: hexagonal
Volume in Å³/cell: 162.5
Total DFT energy (no corrections) in eV per atom: -5.53

The structure in POSCAR format:
```
ZrAg
1.0
6.1974 0.0000 0.0000
-3.0987 5.3671 0.0000
0.0000 0.0000 4.8862
Zr Ag
4 4
direct
0.0000 0.0000 0.0000
0.1630 0.3261 0.5000
0.1630 0.8370 0.5000
0.6739 0.8370 0.5000
0.5061 0.0121 0.0000
0.5061 0.4939 0.0000
0.6667 0.3333 0.5000
0.9879 0.4939 0.0000
```

---

Record 15
A relaxed Pm2PS crystal, computed with GGA-PBE.

Crystal system: tetragonal
Volume in Å³/cell: 96.1
Energy above the lowest structure with this stoichiometry in meV/atom: 3.4
Total DFT energy (no corrections) in eV per atom: -6.62

The structure in POSCAR format:
```
Pm2PS
1.0
4.0826 0.0000 0.0000
0.0000 4.0826 0.0000
0.0000 0.0000 5.7640
Pm P S
2 1 1
direct
0.0000 0.0000 0.0000
0.5000 0.5000 0.5000
0.0000 0.0000 0.5000
0.5000 0.5000 0.0000
```

---

Record 16
A relaxed Mo4Pb3W2N3 crystal, computed with GGA-PBE.

Crystal system: monoclinic
Volume in Å³/cell: 380.6
Total DFT energy (no corrections) in eV per atom: -8.49

The structure in POSCAR format:
```
Mo4Pb3W2N3
1.0
4.9983 -2.8853 0.0000
4.9983 2.8853 0.0000
-3.3311 0.0000 13.1965
Mo Pb W N
8 6 4 6
direct
0.0320 0.1839 0.0737
0.1334 0.3094 0.4262
0.1839 0.0320 0.5737
0.3094 0.1334 0.9262
0.6906 0.8666 0.0738
0.8161 0.9680 0.4263
0.8666 0.6906 0.5738
0.9680 0.8161 0.9263
0.0844 0.9156 0.2500
0.2533 0.4159 0.7509
0.4159 0.2533 0.2509
0.5841 0.7467 0.7491
0.7467 0.5841 0.2491
0.9156 0.0844 0.7500
0.3487 0.5223 0.0686
0.4777 0.6513 0.4314
0.5223 0.3487 0.5686
0.6513 0.4777 0.9314
0.0000 0.5000 0.0000
0.1717 0.6640 0.4994
0.3360 0.8283 0.0006
0.5000 0.0000 0.5000
0.6640 0.1717 0.9994
0.8283 0.3360 0.5006
```

---

Record 17
A relaxed TlAsAuO crystal, computed with GGA-PBE.

Crystal system: tetragonal
Volume in Å³/cell: 174.0
Energy above the lowest structure with this stoichiometry in meV/atom: 432.7
Total DFT energy (no corrections) in eV per atom: -3.43

The structure in POSCAR format:
```
TlAsAuO
1.0
4.5055 0.0000 0.0000
0.0000 4.5055 0.0000
0.0000 0.0000 8.5711
Tl As Au O
2 2 2 2
direct
0.2500 0.7500 0.0000
0.7500 0.2500 0.0000
0.2500 0.2500 0.2073
0.7500 0.7500 0.7927
0.2500 0.2500 0.5255
0.7500 0.7500 0.4745
0.2500 0.7500 0.5000
0.7500 0.2500 0.5000
```

---

Record 18
A relaxed NbIBr3Cl crystal, computed with GGA-PBE.

Crystal system: triclinic
Volume in Å³/cell: 447.2
Energy above the lowest structure with this stoichiometry in meV/atom: 1.2
Total DFT energy (no corrections) in eV per atom: -3.91

The structure in POSCAR format:
```
NbIBr3Cl
1.0
7.0208 0.0000 0.0000
-3.3355 6.8364 0.0000
-0.3574 -4.0598 9.3166
Nb I Br Cl
2 2 6 2
direct
0.1009 0.2082 0.2089
0.8991 0.7918 0.7911
0.0784 0.8177 0.5685
0.9216 0.1823 0.4315
0.1130 0.6380 0.8621
0.2953 0.0120 0.2382
0.4316 0.5554 0.3168
0.5684 0.4446 0.6832
0.7047 0.9880 0.7618
0.8870 0.3620 0.1379
0.2082 0.1581 0.9611
0.7918 0.8419 0.0389
```

---

Record 19
A relaxed GdHoAg4 crystal, computed with GGA-PBE.

Crystal system: tetragonal
Volume in Å³/cell: 128.3
Total DFT energy (no corrections) in eV per atom: -3.75

The structure in POSCAR format:
```
GdHoAg4
1.0
3.7249 0.0000 0.0000
0.0000 3.7249 0.0000
0.0000 0.0000 9.2502
Gd Ho Ag
1 1 4
direct
0.0000 0.0000 0.0000
0.5000 0.5000 0.5000
0.0000 0.0000 0.3329
0.0000 0.0000 0.6671
0.5000 0.5000 0.1733
0.5000 0.5000 0.8267
```

---

Record 20
A relaxed Ba2LiSb2Au crystal, computed with GGA-PBE.

Crystal system: hexagonal
Volume in Å³/cell: 191.0
Total DFT energy (no corrections) in eV per atom: -3.81

The structure in POSCAR format:
```
Ba2LiSb2Au
1.0
4.8741 0.0000 0.0000
-2.4371 4.2211 0.0000
0.0000 0.0000 9.2833
Ba Li Sb Au
2 1 2 1
direct
0.0000 0.0000 0.2499
0.0000 0.0000 0.7501
0.6667 0.3333 0.0000
0.3333 0.6667 0.0000
0.6667 0.3333 0.5000
0.3333 0.6667 0.5000
```